Entry 1:
# Ce2YNi9

A geometry-optimized Ce2YNi9 structure (PBE, Alexandria).

a = 4.941 Å, b = 4.941 Å, c = 8.708 Å
α = 73.52°, β = 73.52°, γ = 60.00°
Element x y z (fractional)
1 Ce 0.139 0.139 0.584
2 Ni 0.418 0.918 0.246
3 Ni 0.500 0.500 0.500
4 Ni 0.582 0.082 0.754
5 Ni 0.418 0.418 0.246
6 Ni 0.582 0.582 0.754
7 Ce 0.861 0.861 0.416
8 Ni 0.667 0.667 0.999
9 Y 0.000 0.000 0.000
10 Ni 0.918 0.418 0.246
11 Ni 0.333 0.333 0.001
12 Ni 0.082 0.582 0.754

Values from the calculation:
Crystal system ... trigonal
Magnetization ... 0.0 Bohr magnetons per cell
Energy of formation from the pure elements ... -38 kJ per mole of atoms
V ... 174 Å³/cell

***

Entry 2:
# Cd2RuCl

A geometry-optimized Cd2RuCl structure (PBE, Alexandria).

a = 6.785 Å, b = 6.785 Å, c = 6.785 Å
α = 154.37°, β = 138.91°, γ = 49.05°
Element x y z (fractional)
1 Cl 0.418 0.418 0.000
2 Ru 0.266 0.766 0.500
3 Cd 0.739 0.239 0.500
4 Cd 0.076 0.076 0.000

Values from the calculation:
Crystal system ... orthorhombic
Magnetization ... 0.0 Bohr magnetons per cell
E_form (uncorrected) ... 0.086 eV/atom
V ... 88 Å³/cell

***

Entry 3:
# Tb5ZrHg4

A geometry-optimized Tb5ZrHg4 structure (PBE, Alexandria).

a = 3.624 Å, b = 3.624 Å, c = 20.109 Å
α = 90.00°, β = 90.00°, γ = 90.00°
Element x y z (fractional)
1 Hg 0.000 0.000 0.208
2 Tb 0.500 0.500 0.500
3 Hg 0.000 0.000 0.792
4 Tb 0.500 0.500 0.891
5 Tb 0.500 0.500 0.109
6 Tb 0.500 0.500 0.693
7 Zr 0.000 0.000 0.000
8 Hg 0.000 0.000 0.596
9 Tb 0.500 0.500 0.307
10 Hg 0.000 0.000 0.404

Values from the calculation:
Crystal system ... tetragonal
Magnetization ... 0.3 Bohr magnetons per cell
Energy of formation from the pure elements ... -34 kJ per mole of atoms
V ... 264 Å³/cell

***

Entry 4:
# MnAgAu6

A geometry-optimized MnAgAu6 structure (PBE, Alexandria).

a = 4.757 Å, b = 5.828 Å, c = 5.828 Å
α = 118.13°, β = 90.00°, γ = 90.00°
Element x y z (fractional)
1 Au 0.000 0.333 0.159
2 Mn 0.500 0.165 0.835
3 Au 0.000 0.841 0.667
4 Au 0.500 0.164 0.335
5 Ag 0.500 0.664 0.336
6 Au 0.000 0.834 0.166
7 Au 0.000 0.334 0.666
8 Au 0.500 0.665 0.836

Values from the calculation:
Crystal system ... orthorhombic
Magnetization ... 4.6 Bohr magnetons per cell
Energy of formation from the pure elements ... 0 kJ per mole of atoms
V ... 142 Å³/cell

***

Entry 5:
# CaMgS2

A geometry-optimized CaMgS2 structure (PBE, Alexandria).

a = 4.087 Å, b = 5.550 Å, c = 15.941 Å
α = 90.00°, β = 90.00°, γ = 90.00°
Element x y z (fractional)
1 S 0.750 0.750 0.570
2 Mg 0.250 0.742 0.670
3 Mg 0.250 0.242 0.830
4 Mg 0.750 0.758 0.170
5 S 0.250 0.753 0.822
6 S 0.750 0.250 0.930
7 Ca 0.750 0.749 0.934
8 Mg 0.750 0.258 0.330
9 S 0.250 0.253 0.678
10 S 0.250 0.750 0.070
11 S 0.750 0.247 0.178
12 Ca 0.250 0.251 0.066
13 S 0.750 0.747 0.322
14 Ca 0.250 0.751 0.434
15 S 0.250 0.250 0.430
16 Ca 0.750 0.249 0.566

Values from the calculation:
Crystal system ... orthorhombic
Magnetization ... 0.0 Bohr magnetons per cell
E_form (uncorrected) ... -1.712 eV/atom
V ... 362 Å³/cell

***

Entry 6:
# HfAlAgPt

A geometry-optimized HfAlAgPt structure (PBE, Alexandria).

a = 4.602 Å, b = 4.602 Å, c = 4.602 Å
α = 60.00°, β = 60.00°, γ = 60.00°
Element x y z (fractional)
1 Pt 0.250 0.250 0.250
2 Al 0.500 0.500 0.500
3 Hf 0.000 0.000 0.000
4 Ag 0.750 0.750 0.750

Values from the calculation:
Crystal system ... cubic
Magnetization ... 0.0 Bohr magnetons per cell
Energy of formation from the pure elements ... -61 kJ per mole of atoms
V ... 69 Å³/cell

***

Entry 7:
# HfNbZn

A geometry-optimized HfNbZn structure (PBE, Alexandria).

a = 6.196 Å, b = 3.517 Å, c = 10.603 Å
α = 90.00°, β = 106.81°, γ = 90.00°
Element x y z (fractional)
1 Zn 0.860 0.000 0.932
2 Nb 0.539 0.000 0.259
3 Hf 0.208 0.000 0.576
4 Zn 0.860 0.500 0.432
5 Hf 0.020 0.500 0.749
6 Hf 0.208 0.500 0.076
7 Nb 0.373 0.500 0.399
8 Zn 0.688 0.500 0.068
9 Nb 0.373 0.000 0.899
10 Zn 0.688 0.000 0.568
11 Hf 0.020 0.000 0.249
12 Nb 0.539 0.500 0.759

Values from the calculation:
Crystal system ... monoclinic
Magnetization ... 0.0 Bohr magnetons per cell
Energy of formation from the pure elements ... -4 kJ per mole of atoms
V ... 221 Å³/cell

***

Entry 8:
# AgIrOs2

A geometry-optimized AgIrOs2 structure (PBE, Alexandria).

a = 9.323 Å, b = 9.323 Å, c = 9.323 Å
α = 17.03°, β = 17.03°, γ = 17.03°
Element x y z (fractional)
1 Ag 0.500 0.500 0.500
2 Os 0.256 0.256 0.256
3 Os 0.999 0.999 0.999
4 Ir 0.745 0.745 0.745

Values from the calculation:
Crystal system ... trigonal
Magnetization ... 0.0 Bohr magnetons per cell
Energy of formation from the pure elements ... 27 kJ per mole of atoms
V ... 61 Å³/cell

***

Entry 9:
# Cd2CuCl

A geometry-optimized Cd2CuCl structure (PBE, Alexandria).

a = 6.676 Å, b = 5.085 Å, c = 3.293 Å
α = 89.83°, β = 60.74°, γ = 119.88°
Element x y z (fractional)
1 Cl 0.000 0.500 0.500
2 Cd 0.500 0.000 0.500
3 Cu 0.500 0.500 0.000
4 Cd 0.000 0.000 0.000

Values from the calculation:
Crystal system ... monoclinic
Magnetization ... 0.0 Bohr magnetons per cell
E_form (uncorrected) ... -0.024 eV/atom
V ... 80 Å³/cell

***

Entry 10:
# GePN3

A geometry-optimized GePN3 structure (PBE, Alexandria).

a = 3.775 Å, b = 3.775 Å, c = 3.775 Å
α = 90.00°, β = 90.00°, γ = 90.00°
Element x y z (fractional)
1 N 0.000 0.000 0.500
2 N 0.500 0.000 0.000
3 Ge 0.000 0.000 0.000
4 N 0.000 0.500 0.000
5 P 0.500 0.500 0.500

Values from the calculation:
Crystal system ... cubic
Magnetization ... 0.0 Bohr magnetons per cell
E_form (uncorrected) ... 1.761 eV/atom
V ... 54 Å³/cell

***

Entry 11:
# HoMnSb3

A geometry-optimized HoMnSb3 structure (PBE, Alexandria).

a = 6.017 Å, b = 6.222 Å, c = 12.654 Å
α = 90.00°, β = 90.00°, γ = 90.00°
Element x y z (fractional)
1 Sb 0.250 0.604 0.065
2 Sb 0.750 0.000 0.770
3 Ho 0.750 0.496 0.689
4 Sb 0.250 0.104 0.935
5 Sb 0.000 0.250 0.498
6 Ho 0.250 0.004 0.689
7 Sb 0.750 0.896 0.065
8 Sb 0.750 0.396 0.935
9 Ho 0.750 0.996 0.311
10 Sb 0.500 0.750 0.502
11 Ho 0.250 0.504 0.311
12 Sb 0.000 0.750 0.502
13 Mn 0.000 0.250 0.097
14 Sb 0.500 0.250 0.498
15 Sb 0.250 0.500 0.770
16 Sb 0.750 0.500 0.230
17 Mn 0.000 0.750 0.903
18 Mn 0.500 0.250 0.097
19 Sb 0.250 0.000 0.230
20 Mn 0.500 0.750 0.903

Values from the calculation:
Crystal system ... orthorhombic
Magnetization ... 10.6 Bohr magnetons per cell
E_form (uncorrected) ... -0.456 eV/atom
V ... 474 Å³/cell

***

Entry 12:
# Cs2UHg2Se5

A geometry-optimized Cs2UHg2Se5 structure (PBE, Alexandria).

a = 4.354 Å, b = 10.452 Å, c = 16.823 Å
α = 65.70°, β = 90.00°, γ = 90.00°
Element x y z (fractional)
1 U 0.797 0.500 0.250
2 Se 0.181 0.220 0.883
3 Se 0.819 0.220 0.383
4 Hg 0.369 0.830 0.202
5 Hg 0.369 0.170 0.298
6 Cs 0.314 0.768 0.945
7 Se 0.298 0.555 0.344
8 Se 0.078 0.000 0.250
9 Cs 0.314 0.232 0.555
10 U 0.203 0.500 0.750
11 Cs 0.686 0.232 0.055
12 Cs 0.686 0.768 0.445
13 Se 0.819 0.780 0.117
14 Se 0.922 0.000 0.750
15 Se 0.702 0.445 0.656
16 Hg 0.631 0.830 0.702
17 Hg 0.631 0.170 0.798
18 Se 0.702 0.555 0.844
19 Se 0.181 0.780 0.617
20 Se 0.298 0.445 0.156

Values from the calculation:
Crystal system ... monoclinic
Magnetization ... 4.0 Bohr magnetons per cell
E_form (uncorrected) ... -0.872 eV/atom
V ... 698 Å³/cell

***

Entry 13:
# BeCrBr2

A geometry-optimized BeCrBr2 structure (PBE, Alexandria).

a = 3.374 Å, b = 4.852 Å, c = 6.483 Å
α = 75.04°, β = 90.00°, γ = 90.00°
Element x y z (fractional)
1 Be 0.500 0.848 0.664
2 Br 0.000 0.926 0.876
3 Cr 0.000 0.487 0.581
4 Br 0.500 0.238 0.379

Values from the calculation:
Crystal system ... monoclinic
Magnetization ... 4.0 Bohr magnetons per cell
E_form (uncorrected) ... -0.034 eV/atom
V ... 103 Å³/cell

***

Entry 14:
# Pb4ClF6

A geometry-optimized Pb4ClF6 structure (PBE, Alexandria).

a = 3.993 Å, b = 7.621 Å, c = 7.621 Å
α = 120.00°, β = 90.00°, γ = 90.00°
Element x y z (fractional)
1 Pb 0.500 0.818 0.635
2 Pb 0.000 0.333 0.667
3 F 0.500 0.596 0.798
4 Pb 0.500 0.818 0.182
5 F 0.000 0.532 0.064
6 Cl 0.000 0.000 0.000
7 F 0.000 0.532 0.468
8 F 0.500 0.202 0.404
9 F 0.000 0.936 0.468
10 Pb 0.500 0.365 0.182
11 F 0.500 0.202 0.798

Values from the calculation:
Crystal system ... hexagonal
Magnetization ... 0.8 Bohr magnetons per cell
E_form (uncorrected) ... -1.985 eV/atom
V ... 201 Å³/cell

***

Entry 15:
# InB3H

A geometry-optimized InB3H structure (PBE, Alexandria).

a = 3.663 Å, b = 3.663 Å, c = 3.663 Å
α = 90.00°, β = 90.00°, γ = 90.00°
Element x y z (fractional)
1 In 0.500 0.500 0.500
2 B 0.000 0.000 0.500
3 B 0.500 0.000 0.000
4 H 0.000 0.000 0.000
5 B 0.000 0.500 0.000

Values from the calculation:
Crystal system ... cubic
Magnetization ... 0.0 Bohr magnetons per cell
V ... 49 Å³/cell
DFT total energy ... -3.406 eV/atom

***

Entry 16:
# Pm6SmSc2

A geometry-optimized Pm6SmSc2 structure (PBE, Alexandria).

a = 8.033 Å, b = 8.033 Å, c = 10.377 Å
α = 90.00°, β = 90.00°, γ = 90.00°
Element x y z (fractional)
1 Pm 0.258 0.258 0.831
2 Pm 0.242 0.758 0.669
3 Pm 0.742 0.742 0.169
4 Sc 0.000 0.000 0.836
5 Pm 0.732 0.732 0.500
6 Pm 0.742 0.742 0.831
7 Sm 0.500 0.500 0.000
8 Sc 0.000 0.000 0.164
9 Pm 0.268 0.268 0.500
10 Pm 0.258 0.258 0.169
11 Sm 0.000 0.000 0.500
12 Pm 0.768 0.232 0.000
13 Pm 0.242 0.758 0.331
14 Pm 0.758 0.242 0.331
15 Pm 0.758 0.242 0.669
16 Sc 0.500 0.500 0.664
17 Sc 0.500 0.500 0.336
18 Pm 0.232 0.768 0.000

Values from the calculation:
Crystal system ... tetragonal
Magnetization ... 0.0 Bohr magnetons per cell
Energy of formation from the pure elements ... 56 kJ per mole of atoms
V ... 670 Å³/cell

***

Entry 17:
# Ca4ZnH

A geometry-optimized Ca4ZnH structure (PBE, Alexandria).

a = 7.873 Å, b = 7.873 Å, c = 7.873 Å
α = 73.80°, β = 73.80°, γ = 116.23°
Element x y z (fractional)
1 Zn 0.125 0.375 0.750
2 Ca 0.791 0.232 0.559
3 Ca 0.209 0.768 0.441
4 Ca 0.268 0.709 0.941
5 Ca 0.650 0.709 0.559
6 H 0.625 0.875 0.750
7 H 0.375 0.125 0.250
8 Ca 0.732 0.291 0.059
9 Ca 0.209 0.150 0.059
10 Ca 0.791 0.850 0.941
11 Ca 0.350 0.291 0.441
12 Zn 0.875 0.625 0.250

Values from the calculation:
Crystal system ... tetragonal
Magnetization ... 0.0 Bohr magnetons per cell
V ... 372 Å³/cell
DFT total energy ... -2.287 eV/atom

***

Entry 18:
# ReTe2AuN

A geometry-optimized ReTe2AuN structure (PBE, Alexandria).

a = 5.524 Å, b = 5.524 Å, c = 3.799 Å
α = 90.00°, β = 90.00°, γ = 90.00°
Element x y z (fractional)
1 Te 0.000 0.500 0.000
2 Re 0.500 0.500 0.500
3 N 0.000 0.000 0.500
4 Te 0.500 0.000 0.000
5 Au 0.000 0.000 0.000

Values from the calculation:
Crystal system ... tetragonal
Magnetization ... 4.2 Bohr magnetons per cell
E_form (uncorrected) ... 1.759 eV/atom
V ... 116 Å³/cell

***

Entry 19:
# CaGe3N

A geometry-optimized CaGe3N structure (PBE, Alexandria).

a = 5.555 Å, b = 5.555 Å, c = 5.555 Å
α = 90.00°, β = 90.00°, γ = 90.00°
Element x y z (fractional)
1 Ge 0.000 0.000 0.500
2 Ca 0.000 0.000 0.000
3 Ge 0.000 0.500 0.000
4 Ge 0.500 0.000 0.000
5 N 0.500 0.500 0.500

Values from the calculation:
Crystal system ... cubic
Magnetization ... 3.3 Bohr magnetons per cell
E_form (uncorrected) ... 1.978 eV/atom
V ... 171 Å³/cell

***

Entry 20:
# Pm3Sm2Sn

A geometry-optimized Pm3Sm2Sn structure (PBE, Alexandria).

a = 4.960 Å, b = 4.920 Å, c = 8.104 Å
α = 107.67°, β = 90.00°, γ = 90.00°
Element x y z (fractional)
1 Pm 0.500 0.500 0.000
2 Pm 0.500 0.837 0.673
3 Pm 0.500 0.163 0.327
4 Sm 0.000 0.661 0.321
5 Sm 0.000 0.339 0.679
6 Sn 0.000 0.000 0.000

Values from the calculation:
Crystal system ... orthorhombic
Magnetization ... 0.0 Bohr magnetons per cell
Energy of formation from the pure elements ... -26 kJ per mole of atoms
V ... 188 Å³/cell

***

Entry 21:
# KIrO2

A geometry-optimized KIrO2 structure (PBE, Alexandria).

a = 5.033 Å, b = 5.033 Å, c = 6.659 Å
α = 67.80°, β = 67.80°, γ = 90.00°
Element x y z (fractional)
1 O 0.996 0.625 0.250
2 Ir 0.000 0.000 0.000
3 O 0.754 0.125 0.250
4 K 0.500 0.500 0.000
5 O 0.375 0.246 0.750
6 O 0.875 0.004 0.750
7 Ir 0.750 0.250 0.500
8 K 0.250 0.750 0.500

Values from the calculation:
Crystal system ... tetragonal
Magnetization ... 0.0 Bohr magnetons per cell
E_form (uncorrected) ... -0.567 eV/atom
V ... 143 Å³/cell

***

Entry 22:
# CeZn2Cu2

A geometry-optimized CeZn2Cu2 structure (PBE, Alexandria).

a = 4.224 Å, b = 4.645 Å, c = 5.323 Å
α = 108.81°, β = 113.38°, γ = 90.00°
Element x y z (fractional)
1 Ce 0.000 0.000 0.000
2 Zn 0.361 0.421 0.721
3 Cu 0.263 0.845 0.526
4 Cu 0.737 0.155 0.474
5 Zn 0.639 0.579 0.279

Values from the calculation:
Crystal system ... monoclinic
Magnetization ... 0.9 Bohr magnetons per cell
Energy of formation from the pure elements ... -16 kJ per mole of atoms
V ... 90 Å³/cell